8
Lattice="-1.990 1.990 9.463 1.990 -1.990 9.463 1.990 1.990 -9.463" Properties=species:S:1:pos:R:3 comment="GGA-PBE HfAgOs2, optimized geometry" crystal_system=tetragonal formation_enthalpy_0k_mev_per_atom=644 space_group="I-42d (122)" de_polymorph_ev_per_atom=0.305 pbc="T T T"
Hf 0.000 0.000 0.000
Hf 0.000 1.990 4.731
Ag 1.990 0.000 4.731
Ag 0.000 0.000 9.463
Os 0.995 -0.705 7.097
Os 1.284 0.995 2.366
Os 0.995 2.695 -2.366
Os 0.705 0.995 11.828



10
Lattice="7.769 0.000 0.000 0.000 7.769 0.000 0.000 0.000 2.693" Properties=species:S:1:pos:R:3 comment="GGA-PBE NaMn2Zn2, optimized geometry" crystal_system=tetragonal formation_enthalpy_0k_mev_per_atom=215 space_group="P4/mbm (127)" de_polymorph_ev_per_atom=0.000 pbc="T T T"
Na 0.000 0.000 0.000
Na 3.885 3.885 0.000
Mn 0.930 2.954 0.000
Mn 2.954 6.839 0.000
Mn 4.815 0.930 0.000
Mn 6.839 4.815 0.000
Zn 1.359 5.244 1.347
Zn 2.526 1.359 1.347
Zn 5.244 6.410 1.347
Zn 6.410 2.526 1.347



8
Lattice="6.829 0.000 0.000 0.000 3.944 0.000 -2.278 0.000 6.553" Properties=species:S:1:pos:R:3 comment="GGA-PBE DyHoU2P4, optimized geometry" crystal_system=monoclinic formation_enthalpy_0k_mev_per_atom=-1294 space_group="P2/m (10)" pbc="T T T"
Dy 0.000 0.000 0.000
Ho 3.414 1.972 0.000
U -1.139 1.972 3.277
U 2.275 0.000 3.277
P 0.003 0.000 4.888
P 1.142 1.972 1.669
P 3.409 1.972 4.885
P 4.548 0.000 1.665



5
Lattice="5.131 0.000 0.000 0.000 5.131 0.000 0.000 0.000 5.131" Properties=species:S:1:pos:R:3 comment="GGA-PBE ZnCrHg3, optimized geometry" crystal_system=cubic formation_enthalpy_0k_mev_per_atom=621 space_group="Pm-3m (221)" de_polymorph_ev_per_atom=0.105 pbc="T T T"
Zn 0.000 0.000 0.000
Cr 2.565 2.565 2.565
Hg 0.000 0.000 2.565
Hg 0.000 2.565 0.000
Hg 2.565 0.000 0.000



4
Lattice="1.765 1.019 7.982 -1.765 1.019 7.982 0.000 -2.038 7.982" Properties=species:S:1:pos:R:3 comment="GGA-PBE Tb2CdN, optimized geometry" raw_formation_energy_ev_per_fu=-3.6 crystal_system=trigonal space_group="R-3m (166)" pbc="T T T"
Tb 0.000 0.000 5.347
Tb 0.000 0.000 18.599
Cd 0.000 0.000 0.000
N 0.000 0.000 11.973



4
Lattice="-1.969 3.163 6.109 1.969 -3.163 6.109 1.969 3.163 -6.109" Properties=species:S:1:pos:R:3 comment="GGA-PBE Ba2YRh, optimized geometry" crystal_system=orthorhombic formation_enthalpy_0k_mev_per_atom=-131 space_group="Imm2 (44)" de_polymorph_ev_per_atom=0.113 pbc="T T T"
Ba 0.000 0.000 0.000
Ba 0.000 3.163 2.189
Y 1.969 0.000 3.987
Rh 0.000 0.000 5.758